# 1
A plane-wave DFT calculation with PBE-GGA was carried out for Ho2MgAl2Ni5 after structural relaxation.

Output
As for the energy of formation: -0.353 eV/atom. The density of states at the Fermi level is 0.6775 states/eV/atom.

Cell lengths 3.516, 9.547, 9.547 Å; angles 90.00, 90.00, 90.00 degrees
Fractional positions:
Ho 0.000 0.681 0.181
Ho 0.000 0.319 0.819
Ho 0.000 0.181 0.319
Ho 0.000 0.819 0.681
Mg 0.000 0.000 0.000
Mg 0.000 0.500 0.500
Al 0.000 0.114 0.614
Al 0.000 0.886 0.386
Al 0.000 0.614 0.886
Al 0.000 0.386 0.114
Ni 0.500 0.220 0.063
Ni 0.500 0.780 0.937
Ni 0.500 0.063 0.780
Ni 0.500 0.720 0.437
Ni 0.500 0.937 0.220
Ni 0.500 0.280 0.563
Ni 0.500 0.563 0.720
Ni 0.500 0.437 0.280
Ni 0.500 0.500 0.000
Ni 0.500 0.000 0.500


# 2
A plane-wave DFT calculation with PBE-GGA was carried out for CsIn2PdAu after structural relaxation.

Output
As for the energy of formation: -0.174 eV/atom. The density of states at the Fermi level is 0.2722 states/eV/atom.

Cell lengths 5.216, 5.600, 5.216 Å; angles 90.00, 90.00, 90.00 degrees
Fractional positions:
Cs 0.500 0.500 0.500
Au 0.000 0.500 0.000
Pd 0.000 0.000 0.000
In 0.000 0.000 0.500
In 0.500 0.000 0.000


# 3
A plane-wave DFT calculation with PBE-GGA was carried out for CaMoCl2 after structural relaxation.

Output
The calculation puts the excess energy over the best structure of this formula in the dataset at 0 meV per atom. Its energy relative to the elements, uncorrected is -0.5532 eV per atom. The density of states at the Fermi level is 0.7060 states/eV/atom.

Cell lengths 9.582, 9.582, 3.258 Å; angles 69.21, 69.21, 19.57 degrees
Fractional positions:
Mo 0.546 0.546 0.290
Ca 0.188 0.188 0.492
Cl 0.989 0.989 0.909
Cl 0.776 0.776 0.808


# 4
A plane-wave DFT calculation with PBE-GGA was carried out for LaB2Pt5 after structural relaxation.

Output
As for the energy of formation: -0.610 eV/atom. The density of states at the Fermi level is 0.4236 states/eV/atom.

Cell lengths 4.102, 5.996, 5.996 Å; angles 66.61, 70.00, 70.00 degrees
Fractional positions:
La 0.000 0.000 0.000
B 0.759 0.741 0.741
B 0.241 0.259 0.259
Pt 0.000 0.500 0.500
Pt 0.655 0.555 0.134
Pt 0.345 0.445 0.866
Pt 0.345 0.866 0.445
Pt 0.655 0.134 0.555


# 5
A plane-wave DFT calculation with PBE-GGA was carried out for NiAs after structural relaxation.

Output
As for the energy of formation: -0.189 eV/atom. The density of states at the Fermi level is 0.5735 states/eV/atom.

Cell lengths 4.520, 4.259, 4.258 Å; angles 51.62, 90.00, 90.00 degrees
Fractional positions:
As 0.000 0.164 0.164
As 0.500 0.586 0.586
Ni 0.000 0.469 0.469
Ni 0.500 0.281 0.281


# 6
A plane-wave DFT calculation with PBE-GGA was carried out for Nb2NiRh after structural relaxation.

Output
As for the energy of formation: 0.306 eV/atom. The density of states at the Fermi level is 0.9161 states/eV/atom.

Cell lengths 3.912, 3.912, 9.230 Å; angles 77.77, 77.77, 90.00 degrees
Fractional positions:
Ni 0.500 0.500 0.000
Ni 0.250 0.750 0.500
Nb 0.619 0.125 0.250
Nb 0.131 0.625 0.250
Nb 0.375 0.381 0.750
Nb 0.875 0.869 0.750
Rh 0.000 0.000 0.000
Rh 0.750 0.250 0.500


# 7
A plane-wave DFT calculation with PBE-GGA was carried out for HgC3 after structural relaxation.

Output
As for the energy of formation: 1.492 eV/atom. The calculation puts the excess energy over the best structure of this formula in the dataset at 751 meV per atom. The density of states at the Fermi level is 0.4936 states/eV/atom.

Cell lengths 2.509, 3.379, 7.483 Å; angles 65.84, 90.00, 90.00 degrees
Fractional positions:
C 0.000 0.046 0.750
C 0.500 0.750 0.750
C 0.000 0.454 0.750
Hg 0.500 0.250 0.250


# 8
A plane-wave DFT calculation with PBE-GGA was carried out for Na2SnBiO after structural relaxation.

Output
The calculation puts the excess energy over the best structure of this formula in the dataset at 1266 meV per atom. Its energy relative to the elements, uncorrected is 0.5691 eV per atom. The density of states at the Fermi level is 3.2961 states/eV/atom.

Cell lengths 5.946, 5.559, 5.946 Å; angles 90.00, 90.00, 90.00 degrees
Fractional positions:
Na 0.000 0.000 0.500
Na 0.500 0.000 0.000
Bi 0.000 0.500 0.000
O 0.500 0.500 0.500
Sn 0.000 0.000 0.000


# 9
A plane-wave DFT calculation with PBE-GGA was carried out for TaNiSb2Te after structural relaxation.

Output
The calculation puts the excess energy over the best structure of this formula in the dataset at 85 meV per atom. Its energy relative to the elements, uncorrected is 0.9154 eV per atom. The density of states at the Fermi level is 1.8287 states/eV/atom.

Cell lengths 5.340, 5.340, 5.295 Å; angles 90.00, 90.00, 90.00 degrees
Fractional positions:
Sb 0.000 0.500 0.000
Sb 0.500 0.000 0.000
Te 0.000 0.000 0.500
Ni 0.500 0.500 0.500
Ta 0.000 0.000 0.000


# 10
A plane-wave DFT calculation with PBE-GGA was carried out for CrOsS2 after structural relaxation.

Output
The calculation puts the excess energy over the best structure of this formula in the dataset at 0 meV per atom. Its energy relative to the elements, uncorrected is -0.1342 eV per atom. The density of states at the Fermi level is 0.4856 states/eV/atom.

Cell lengths 7.706, 7.706, 7.706 Å; angles 21.84, 21.84, 21.84 degrees
Fractional positions:
Cr 0.500 0.500 0.500
S 0.901 0.901 0.901
S 0.099 0.099 0.099
Os 0.000 0.000 0.000


# 11
A plane-wave DFT calculation with PBE-GGA was carried out for TmNbAs after structural relaxation.

Output
As for the energy of formation: -0.864 eV/atom. The density of states at the Fermi level is 0.6973 states/eV/atom.

Cell lengths 3.956, 3.956, 7.711 Å; angles 90.00, 90.00, 90.00 degrees
Fractional positions:
Tm 0.000 0.500 0.859
Tm 0.500 0.000 0.141
As 0.000 0.500 0.246
As 0.500 0.000 0.754
Nb 0.500 0.500 0.500
Nb 0.000 0.000 0.500


# 12
A plane-wave DFT calculation with PBE-GGA was carried out for Pa2GeCl2 after structural relaxation.

Output
Its energy relative to the elements, uncorrected is -1.0586 eV per atom. The density of states at the Fermi level is 1.0613 states/eV/atom.

Cell lengths 4.040, 4.040, 10.387 Å; angles 78.79, 78.79, 60.00 degrees
Site moments in Bohr magnetons follow the coordinates.
Fractional positions:
Pa 0.615 0.615 0.156  0.10
Pa 0.385 0.385 0.844  0.10
Ge 0.000 0.000 0.000  -0.01
Cl 0.225 0.225 0.324  0.00
Cl 0.775 0.775 0.676  0.00


# 13
A plane-wave DFT calculation with PBE-GGA was carried out for Tb2Sm3YP6 after structural relaxation.

Output
As for the energy of formation: -1.593 eV/atom. The density of states at the Fermi level is 0.1303 states/eV/atom.

Cell lengths 7.042, 7.042, 7.042 Å; angles 99.59, 99.59, 119.99 degrees
Fractional positions:
Tb 0.333 0.667 0.000
Tb 0.667 0.333 0.000
Sm 0.167 0.833 0.500
Sm 0.833 0.167 0.500
Sm 0.500 0.500 0.500
Y 0.000 0.000 0.000
P 0.918 0.585 0.755
P 0.749 0.749 0.245
P 0.082 0.415 0.245
P 0.585 0.918 0.755
P 0.251 0.251 0.755
P 0.415 0.082 0.245


# 14
A plane-wave DFT calculation with PBE-GGA was carried out for NaLaSb3 after structural relaxation.

Output
The calculation puts the excess energy over the best structure of this formula in the dataset at 721 meV per atom. Its energy relative to the elements, uncorrected is 0.0448 eV per atom. The density of states at the Fermi level is 0.4763 states/eV/atom.

Cell lengths 5.371, 5.371, 5.371 Å; angles 90.00, 90.00, 90.00 degrees
Fractional positions:
Sb 0.000 0.500 0.000
Sb 0.000 0.000 0.500
Sb 0.500 0.000 0.000
Na 0.000 0.000 0.000
La 0.500 0.500 0.500


# 15
A plane-wave DFT calculation with PBE-GGA was carried out for Ac2SiOsC after structural relaxation.

Output
Its energy relative to the elements, uncorrected is -0.2834 eV per atom. The density of states at the Fermi level is 0.7091 states/eV/atom.

Cell lengths 4.262, 6.694, 9.320 Å; angles 110.24, 90.00, 90.00 degrees
Fractional positions:
Ac 0.750 0.793 0.606
Ac 0.750 0.768 0.031
Ac 0.250 0.207 0.394
Ac 0.250 0.232 0.969
Si 0.250 0.673 0.300
Si 0.750 0.327 0.700
Os 0.250 0.507 0.748
Os 0.750 0.493 0.252
C 0.250 0.803 0.822
C 0.750 0.197 0.178


# 16
A plane-wave DFT calculation with PBE-GGA was carried out for LaSeN2F after structural relaxation.

Output
The calculation puts the excess energy over the best structure of this formula in the dataset at 722 meV per atom. Its energy relative to the elements, uncorrected is 0.3082 eV per atom. The density of states at the Fermi level is 1.3317 states/eV/atom.

Cell lengths 4.696, 4.696, 4.441 Å; angles 90.00, 90.00, 90.00 degrees
Site moments in Bohr magnetons follow the coordinates.
Fractional positions:
N 0.000 0.500 0.000  0.07
N 0.500 0.000 0.000  0.07
F 0.000 0.000 0.500  0.00
Se 0.500 0.500 0.500  -0.05
La 0.000 0.000 0.000  -0.03


# 17
A plane-wave DFT calculation with PBE-GGA was carried out for CaFe2Ni after structural relaxation.

Output
As for the energy of formation: 0.455 eV/atom. The density of states at the Fermi level is 0.9225 states/eV/atom.

Cell lengths 5.183, 5.183, 5.183 Å; angles 138.07, 138.07, 60.80 degrees
Site moments in Bohr magnetons follow the coordinates.
Fractional positions:
Ni 0.250 0.750 0.500  0.43
Ca 0.750 0.250 0.500  -0.08
Fe 0.000 0.000 0.000  2.72
Fe 0.500 0.500 0.000  2.72


# 18
A plane-wave DFT calculation with PBE-GGA was carried out for Tc2Rh after structural relaxation.

Output
As for the energy of formation: -0.110 eV/atom. The calculation puts the excess energy over the best structure of this formula in the dataset at 8 meV per atom. The density of states at the Fermi level is 1.0546 states/eV/atom.

Cell lengths 2.737, 4.378, 7.308 Å; angles 90.00, 100.79, 90.00 degrees
Fractional positions:
Tc 0.445 0.250 0.891
Tc 0.555 0.750 0.109
Tc 0.778 0.250 0.555
Tc 0.222 0.750 0.445
Rh 0.110 0.250 0.220
Rh 0.890 0.750 0.780


# 19
A plane-wave DFT calculation with PBE-GGA was carried out for Tl3HPd after structural relaxation.

Output
The calculation puts the excess energy over the best structure of this formula in the dataset at 24 meV per atom. The density of states at the Fermi level is 0.1704 states/eV/atom.

Cell lengths 5.335, 5.335, 5.335 Å; angles 90.00, 90.00, 90.00 degrees
Fractional positions:
H 0.500 0.500 0.500
Tl 0.000 0.500 0.000
Tl 0.000 0.000 0.500
Tl 0.500 0.000 0.000
Pd 0.000 0.000 0.000


# 20
A plane-wave DFT calculation with PBE-GGA was carried out for Hg2IrSe after structural relaxation.

Output
Its energy relative to the elements, uncorrected is 0.5985 eV per atom. The density of states at the Fermi level is 1.0706 states/eV/atom.

Cell lengths 5.227, 5.227, 5.227 Å; angles 131.71, 131.71, 70.68 degrees
Fractional positions:
Hg 0.000 0.000 0.000
Hg 0.250 0.750 0.500
Ir 0.500 0.500 0.000
Se 0.750 0.250 0.500